1.
Computed, not measured: crystalline Zn2IF at its relaxed geometry at the PBE-GGA level of DFT.

The space group is I-42d (No. 122) and the conventional cell measures 5.061, 5.061 and 14.605 Å, with angles of 90.00, 90.00 and 90.00 degrees. Symmetry generates all atoms from Zn at (0.101, 0.250, 0.125), I at (0.000, 0.000, 0.500) and F at (0.000, 0.000, 0.000).

=====

2.
Computed, not measured: crystalline Zn2IF at its relaxed geometry at the PBE-GGA level of DFT.

The space group is Fm-3m (No. 225) and the conventional cell measures 6.808, 6.808 and 6.808 Å, with angles of 90.00, 90.00 and 90.00 degrees. Symmetry generates all atoms from Zn at (0.250, 0.250, 0.250), I at (0.000, 0.000, 0.000) and F at (0.000, 0.000, 0.500).

=====

What are the relative energies? In kJ/mol of atoms: 1 0.0; 2 23.6.

=====

1.
Computed, not measured: crystalline ZnI3F at its relaxed geometry at the PBE-GGA level of DFT.

The space group is Pm-3m (No. 221) and the conventional cell measures 5.521, 5.521 and 5.521 Å, with angles of 90.00, 90.00 and 90.00 degrees. Symmetry generates all atoms from Zn at (0.000, 0.000, 0.000), I at (0.000, 0.000, 0.500) and F at (0.500, 0.500, 0.500).

=====

2.
Computed, not measured: crystalline ZnI3F at its relaxed geometry at the PBE-GGA level of DFT.

The space group is Pm-3m (No. 221) and the conventional cell measures 5.338, 5.338 and 5.338 Å, with angles of 90.00, 90.00 and 90.00 degrees. Symmetry generates all atoms from Zn at (0.000, 0.000, 0.000), I at (0.000, 0.500, 0.500) and F at (0.500, 0.500, 0.500).

=====

What are the relative energies? In kJ/mol of atoms: 1 0.0; 2 25.5.

=====

1.
Computed, not measured: crystalline Zr2IF at its relaxed geometry at the PBE-GGA level of DFT.

The space group is Fm-3m (No. 225) and the conventional cell measures 6.770, 6.770 and 6.770 Å, with angles of 90.00, 90.00 and 90.00 degrees. Symmetry generates all atoms from Zr at (0.250, 0.250, 0.250), I at (0.000, 0.000, 0.000) and F at (0.000, 0.000, 0.500).

=====

2.
Computed, not measured: crystalline Zr2IF at its relaxed geometry at the PBE-GGA level of DFT.

The space group is I-42d (No. 122) and the conventional cell measures 4.891, 4.891 and 15.804 Å, with angles of 90.00, 90.00 and 90.00 degrees. Symmetry generates all atoms from Zr at (0.128, 0.250, 0.125), I at (0.000, 0.000, 0.500) and F at (0.000, 0.000, 0.000).

=====

What are the relative energies? In kJ/mol of atoms: 1 2.0; 2 0.0.